The following is a GGA-PBE calculation of a relaxed Cd3Ag5F12 crystal, from Alexandria.

The structure belongs to space group Ia-3d (No. 230); the cell edges are 13.651, 13.651 and 13.651 Å and the angles 90.00°, 90.00° and 90.00°. The asymmetric unit holds Cd at (0.000, 0.250, 0.125), Ag at (0.000, 0.000, 0.000), Ag at (0.000, 0.250, 0.375) and F at (0.020, 0.084, 0.649).

Its density of states at the Fermi level is 13.7 states/eV/f.u. Its raw formation energy is -1433 meV per atom. As for the energy relative to the lowest polymorph listed for this composition: 0.0834 eV/atom. The calculation puts the magnetization at 0.06 μB/atom.